NaMgFeF2 | PBE+U | optimized geometry

Computed properties:
Calculated total energy (eV per atom): -3.812
Crystal system: tetragonal
V (A^3/atom): 18.76

a = 3.983 Å, b = 3.983 Å, c = 5.910 Å
α = 90.00°, β = 90.00°, γ = 90.00°
Atoms (fractional coordinates):
Na  0.000  0.000  0.000
Mg  0.500  0.500  0.500
Fe  0.500  0.500  0.000
F  0.000  0.500  0.500
F  0.500  0.000  0.500